# 1
Here is a relaxed structure of KZr2Ag from Alexandria. Energies are from PBE-GGA.

Lattice parameters (Å, degrees): 4.266 4.266 5.610 90.00 90.00 90.00
Space group P4/mmm (No. 123)
Symmetry-distinct sites (fractional):
K 0.000 0.000 0.000 (multiplicity 1)
Zr 0.000 0.500 0.500 (multiplicity 2)
Ag 0.500 0.500 0.000 (multiplicity 1)

N(E_F)	1.183	states/eV/atom
distance to the lowest polymorph of the same formula	563.6	meV per atom
calculated total energy	-18.1	eV per cell
DFT formation energy	0.746	eV/atom
total magnetic moment	0.00	μB/f.u.

=====

# 2
Here is a relaxed structure of KZrAg from Alexandria. Energies are from PBE-GGA.

Lattice parameters (Å, degrees): 3.095 3.462 15.746 90.00 90.00 90.00
Space group Imm2 (No. 44)
Symmetry-distinct sites (fractional):
K 0.000 0.000 0.000 (multiplicity 2)
Zr 0.000 0.000 0.716 (multiplicity 2)
Ag 0.000 0.000 0.330 (multiplicity 2)

N(E_F)	1.291	states/eV/atom
distance to the lowest polymorph of the same formula	0.0	meV per atom
calculated total energy	-22.4	eV per cell
DFT formation energy	0.435	eV/atom
total magnetic moment	0.00	μB/f.u.

=====

# 3
Here is a relaxed structure of K3ZrAg from Alexandria. Energies are from PBE-GGA.

Lattice parameters (Å, degrees): 6.711 6.711 6.711 90.00 90.00 90.00
Space group Pm-3m (No. 221)
Symmetry-distinct sites (fractional):
K 0.000 0.000 0.500 (multiplicity 3)
Zr 0.000 0.000 0.000 (multiplicity 1)
Ag 0.500 0.500 0.500 (multiplicity 1)

N(E_F)	0.694	states/eV/atom
distance to the lowest polymorph of the same formula	239.7	meV per atom
calculated total energy	-8.8	eV per cell
DFT formation energy	1.185	eV/atom
total magnetic moment	4.01	μB/f.u.